[1]
! NdTh3, optimized geometry, DFT GGA-PBE; values from VASP
&SYSTEM
  ibrav = 0, nat = 4, ntyp = 2
/
ATOMIC_SPECIES
Nd 144.24 Nd.upf
Th 232.04 Th.upf
ATOMIC_POSITIONS crystal
Nd 0.0000 0.5000 0.3279
Th 0.0000 0.0000 0.0021
Th 0.5000 0.0000 0.5062
Th 0.5000 0.5000 0.8305
CELL_PARAMETERS angstrom
3.5699 0.0000 0.0000
0.0000 5.9646 0.0000
0.0000 0.0000 6.2148
! - ΔE to the lowest computed polymorph (meV/atom) = 0
! - ΔH_f (0 K) (meV/atom) = 67
! - calculated volume (Å³/cell) = 132.3

---

[2]
! AgPS2Cl, optimized geometry, DFT GGA-PBE; values from VASP
&SYSTEM
  ibrav = 0, nat = 5, ntyp = 4
/
ATOMIC_SPECIES
P 30.97 P.upf
S 32.06 S.upf
Ag 107.87 Ag.upf
Cl 35.45 Cl.upf
ATOMIC_POSITIONS crystal
P 0.0000 0.0000 0.5000
S 0.0000 0.5000 0.0000
S 0.5000 0.0000 0.0000
Ag 0.5000 0.5000 0.5000
Cl 0.0000 0.0000 0.0000
CELL_PARAMETERS angstrom
-2.0541 1.2550 -4.1759
-4.3039 0.1571 2.1643
0.6725 4.4707 1.0128
! - ΔE to the lowest computed polymorph (meV/atom) = 940
! - formation energy (no corrections) (meV/atom) = 1244.8
! - calculated volume (Å³/cell) = 107.6

---

Question: Which value of ΔE to the lowest computed polymorph does entry 1 give?
Answer: 0 meV/atom

---

Question: Which value of calculated volume does entry 1 give?
Answer: 132.3 Å³/cell